Record 1
A geometry-optimized BaMgCr2O8 structure. Source: the Alexandria database, functional PBE+U.

Cell lengths 5.5164, 5.5164, 7.3692 Å; angles 90.00, 90.00, 120.00 degrees
Last column: nearest neighbours and their distance in Å.
Atoms (fractional coordinates):
1 Ba 0.0000 0.0000 0.0000  12 O 2.85-3.19
2 Mg 0.0000 0.0000 0.5000  6 O 2.08
3 Cr 0.6667 0.3333 0.2501  4 O 1.65-1.67
4 Cr 0.3333 0.6667 0.7499  4 O 1.65-1.67
5 O 0.3333 0.6667 0.9743  1 Cr 1.65
6 O 0.3351 0.1696 0.3199  1 Cr 1.67
7 O 0.8304 0.1655 0.3199  1 Cr 1.67
8 O 0.6667 0.3333 0.0257  1 Cr 1.65
9 O 0.1696 0.8345 0.6801  1 Cr 1.67
10 O 0.6649 0.8304 0.6801  1 Cr 1.67
11 O 0.1655 0.3351 0.6801  1 Cr 1.67
12 O 0.8345 0.6649 0.3199  1 Cr 1.67

Output
* DOS at the Fermi energy: 0.0000 states/eV per atom
* size of the total moment: 0.0 Bohr magnetons per cell
* V: 16.2 Å³ per atom
* final energy: -6.7424 eV per atom

Record 2
A geometry-optimized BaMgCr4O8 structure. Source: the Alexandria database, functional PBE+U.

Cell lengths 5.4082, 5.4082, 7.3307 Å; angles 90.00, 90.00, 120.00 degrees
Last column: nearest neighbours and their distance in Å.
Atoms (fractional coordinates):
1 Ba 0.0000 0.0000 0.0000  12 O 2.91-3.12
2 Mg 0.0000 0.0000 0.5000  6 O 2.14
3 Cr 0.3333 0.6667 0.7413  4 O 1.90-1.92
4 Cr 0.6667 0.3333 0.7413  4 O 1.90-1.92
5 Cr 0.3333 0.6667 0.2587  4 O 1.90-1.92
6 Cr 0.6667 0.3333 0.2587  4 O 1.90-1.92
7 O 0.3137 0.3137 0.6774  2 Cr 1.92, 1 Mg 2.14
8 O 0.6863 0.0000 0.6774  2 Cr 1.92, 1 Mg 2.14
9 O 0.0000 0.6863 0.6774  2 Cr 1.92, 1 Mg 2.14
10 O 0.6863 0.6863 0.3226  2 Cr 1.92, 1 Mg 2.14
11 O 0.0000 0.3137 0.3226  2 Cr 1.92, 1 Mg 2.14
12 O 0.3137 0.0000 0.3226  2 Cr 1.92, 1 Mg 2.14
13 O 0.3333 0.6667 0.0000  2 Cr 1.90
14 O 0.6667 0.3333 0.0000  2 Cr 1.90

Output
* DOS at the Fermi energy: 0.2857 states/eV per atom
* size of the total moment: 12.0 Bohr magnetons per cell
* V: 13.3 Å³ per atom
* final energy: -7.0487 eV per atom